# 1
! TiSnPCl2 PBE optimized geometry; values from VASP
! * VASP energy: -19.5 eV/cell
! * formation energy without anion corrections: 0.297 eV/atom
! * excess energy over the best structure of this formula in the dataset: 4.10 eV per formula unit
! * symmetry: P4/mmm
&SYSTEM
  ibrav = 0, nat = 5, ntyp = 4
/
ATOMIC_SPECIES
Cl 35.45 Cl.upf
Sn 118.71 Sn.upf
P 30.97 P.upf
Ti 47.87 Ti.upf
CELL_PARAMETERS angstrom
5.152 0.000 0.000
0.000 5.152 0.000
0.000 0.000 5.199
ATOMIC_POSITIONS crystal
Cl 0.000 0.500 0.000
Sn 0.000 0.000 0.000
P 0.000 0.000 0.500
Ti 0.500 0.500 0.500
Cl 0.500 0.000 0.000

# 2
! TiSnPCl2 PBE optimized geometry; values from VASP
! * VASP energy: -23.6 eV/cell
! * formation energy without anion corrections: -0.523 eV/atom
! * excess energy over the best structure of this formula in the dataset: 0.00 eV per formula unit
! * symmetry: P4/mmm
&SYSTEM
  ibrav = 0, nat = 5, ntyp = 4
/
ATOMIC_SPECIES
P 30.97 P.upf
Cl 35.45 Cl.upf
Ti 47.87 Ti.upf
Sn 118.71 Sn.upf
CELL_PARAMETERS angstrom
-1.825 4.334 -0.285
-4.040 -1.580 1.838
1.721 1.032 4.670
ATOMIC_POSITIONS crystal
P 0.000 0.000 0.500
Cl 0.000 0.500 0.000
Cl 0.500 0.000 0.000
Ti 0.000 0.000 0.000
Sn 0.500 0.500 0.500

# 3
! TiSnP2Cl PBE optimized geometry; values from VASP
! * VASP energy: -20.6 eV/cell
! * formation energy without anion corrections: 0.790 eV/atom
! * excess energy over the best structure of this formula in the dataset: 4.99 eV per formula unit
! * symmetry: P4/mmm
&SYSTEM
  ibrav = 0, nat = 5, ntyp = 4
/
ATOMIC_SPECIES
Sn 118.71 Sn.upf
Ti 47.87 Ti.upf
Cl 35.45 Cl.upf
P 30.97 P.upf
CELL_PARAMETERS angstrom
-1.157 -2.418 -4.237
-3.241 -2.874 2.525
-3.609 3.288 -0.890
ATOMIC_POSITIONS crystal
Sn 0.000 0.000 0.000
Ti 0.500 0.500 0.500
Cl 0.000 0.000 0.500
P 0.000 0.500 0.000
P 0.500 0.000 0.000

# 4
! TiSnP2Cl PBE optimized geometry; values from VASP
! * VASP energy: -25.6 eV/cell
! * formation energy without anion corrections: -0.208 eV/atom
! * excess energy over the best structure of this formula in the dataset: 0.00 eV per formula unit
! * symmetry: P4/mmm
&SYSTEM
  ibrav = 0, nat = 5, ntyp = 4
/
ATOMIC_SPECIES
Ti 47.87 Ti.upf
P 30.97 P.upf
Sn 118.71 Sn.upf
Cl 35.45 Cl.upf
CELL_PARAMETERS angstrom
-3.428 2.906 -1.701
-3.314 -2.482 2.439
0.593 2.898 3.755
ATOMIC_POSITIONS crystal
Ti 0.000 0.000 0.000
P 0.500 0.000 0.000
Sn 0.500 0.500 0.500
Cl 0.000 0.000 0.500
P 0.000 0.500 0.000

It is found that the density of states at the Fermi level values, taken in the order of the records, are 1.94 2.82 6.56 2.52 states/eV per cell.